A relaxed structure of Ca2PuPaN4. Source: Alexandria, functional GGA-PBE.

Properties
- raw formation energy (eV per atom) = -1.3538
- theoretical density (Mg/m³) = 8.18
- total energy (eV per atom) = -8.995

Cell: 3.5467 6.1335 6.0751 Å, 110.15 90.00 90.00°
Each line ends with the local moment (μB).
Positions (direct):
Ca 0.5000 0.0000 0.5000  0.05
Ca 0.0000 0.5000 0.5000  0.03
Pu 0.0000 0.0000 0.0000  4.67
Pa 0.5000 0.5000 0.0000  0.25
N 0.5000 0.2449 0.2133  -0.12
N 0.5000 0.7551 0.7867  -0.12
N 0.0000 0.2736 0.7817  -0.04
N 0.0000 0.7264 0.2183  -0.04